Record 1
DFT (meta-GGA SCAN) results for a PBEsol-optimized structure of Ag4Te.

density of states at the Fermi level: 0.670 states/eV per cell
total magnetic moment: 0.0000 μB per atom
formation energy (no corrections): 31 meV per atom

```
Ag4Te
1.0
4.1185 0.0000 0.0000
2.0593 4.7636 0.0000
2.0593 0.0000 4.7636
Ag Te
4 1
direct
0.1893 0.4078 0.2136 Ag
0.4029 0.7864 0.4078 Ag
0.5971 0.2136 0.5922 Ag
0.8107 0.5922 0.7864 Ag
0.0000 0.0000 0.0000 Te
```

***

Record 2
DFT (meta-GGA SCAN) results for a PBEsol-optimized structure of Ag2Te.

density of states at the Fermi level: 1.551 states/eV per cell
total magnetic moment: 0.0000 μB per atom
formation energy (no corrections): 44 meV per atom

```
Ag2Te
1.0
-0.6580 -2.0882 3.5771
0.7519 -3.7006 -2.0220
7.0050 -1.3343 0.5097
Ag Te
4 2
direct
0.5000 0.1543 0.6913 Ag
0.5000 0.5000 0.0000 Ag
0.0000 0.0000 0.0000 Ag
0.5000 0.8457 0.3087 Ag
0.0000 0.3493 0.3014 Te
0.0000 0.6507 0.6986 Te
```

***

Record 3
DFT (meta-GGA SCAN) results for a PBEsol-optimized structure of Ag8Te.

density of states at the Fermi level: 2.331 states/eV per cell
total magnetic moment: 0.0000 μB per atom
formation energy (no corrections): 18 meV per atom

```
Ag8Te
1.0
4.0798 0.0000 0.0000
2.0399 6.2393 0.0000
2.0399 0.0000 6.2393
Ag Te
8 1
direct
0.3277 0.3446 0.0000 Ag
0.6615 0.3385 0.3385 Ag
0.3385 0.6615 0.6615 Ag
0.0000 0.6615 0.3385 Ag
0.6723 0.6554 0.0000 Ag
0.6723 0.0000 0.6554 Ag
0.0000 0.3385 0.6615 Ag
0.3277 0.0000 0.3446 Ag
0.0000 0.0000 0.0000 Te
```

***

Record 4
DFT (meta-GGA SCAN) results for a PBEsol-optimized structure of Ag4Te.

density of states at the Fermi level: 1.892 states/eV per cell
total magnetic moment: 0.0000 μB per atom
formation energy (no corrections): 439 meV per atom

```
Ag4Te
1.0
-4.3645 1.7296 -2.6862
-0.4247 -5.3170 0.8969
0.3562 2.6032 4.7278
Ag Te
4 1
direct
0.0000 0.5000 0.0000 Ag
0.5000 0.5000 0.5000 Ag
0.0000 0.0000 0.5000 Ag
0.5000 0.0000 0.0000 Ag
0.0000 0.0000 0.0000 Te
```